(1)
Here is H2WBr8 after structural relaxation from Alexandria. Energies are from PBE.

abc: 7.324 7.324 10.309
angles: 117.52 117.52 61.77
Sites, in units of the cell vectors:
H: 0.226 0.226 0.449
H: 0.774 0.774 0.551
W: 0.000 0.000 0.000
Br: 0.006 0.006 0.761
Br: 0.067 0.603 0.887
Br: 0.362 0.362 0.546
Br: 0.397 0.933 0.113
Br: 0.603 0.067 0.887
Br: 0.638 0.638 0.454
Br: 0.933 0.397 0.113
Br: 0.994 0.994 0.239

SG: No. 12
Calculated total energy (eV/atom): -3.36
ρ (g/cm3): 3.34



(2)
Here is YH2Br4 after structural relaxation from Alexandria. Energies are from PBE.

abc: 7.871 7.871 5.977
angles: 90.00 90.00 151.45
Sites, in units of the cell vectors:
Y: 0.000 0.000 0.000
H: 0.393 0.607 0.500
H: 0.607 0.393 0.500
Br: 0.110 0.890 0.500
Br: 0.371 0.629 0.000
Br: 0.629 0.371 0.000
Br: 0.890 0.110 0.500

SG: No. 65
Calculated total energy (eV/atom): -3.49
ρ (g/cm3): 3.85